# 1
Crystalline TbErO2 at its relaxed geometry, computed with PBE.

Cell and atoms, written as POSCAR:
```
TbErO2
1.0
1.7852 1.0307 6.5093
-1.7852 1.0307 6.5093
0.0000 -2.0614 6.5093
Tb Er O
1 1 2
Cartesian
0.0000 0.0000 0.0000
0.0000 0.0000 9.7640
0.0000 0.0000 2.2195
0.0000 0.0000 17.3085
```

space-group type = No. 166
E_form (uncorrected) = -2.93 eV per atom
energy = -7.7045 eV per atom

# 2
Crystalline Y2TeF at its relaxed geometry, computed with PBE.

Cell and atoms, written as POSCAR:
```
Y2TeF
1.0
-3.7066 3.7066 3.4695
3.7066 -3.7066 3.4695
3.7066 3.7066 -3.4695
Y Te F
4 2 2
Cartesian
5.5599 1.1710 -0.8674
1.1710 1.8533 0.8674
-1.8533 2.5357 2.6021
2.5357 1.8533 4.3368
3.7066 0.0000 1.7347
0.0000 0.0000 3.4695
0.0000 0.0000 0.0000
0.0000 3.7066 1.7347
```

space-group type = No. 122
E_form (uncorrected) = -1.72 eV per atom
polymorph energy (0 for the lowest one) = 0 kJ/mol of formula units
energy = -6.2027 eV per atom

# 3
Crystalline TlAg3 at its relaxed geometry, computed with PBE.

Cell and atoms, written as POSCAR:
```
TlAg3
1.0
5.4788 0.0000 0.0000
0.0000 9.7776 0.0000
0.0000 0.0000 6.0328
Tl Ag
4 12
Cartesian
0.4010 2.4444 0.6287
2.3384 7.3332 3.6451
3.1404 2.4444 2.3877
5.0778 7.3332 5.4041
0.4727 2.4444 3.7391
1.2251 4.9259 2.1801
1.2251 9.7405 2.1801
1.5143 0.0371 5.1965
1.5143 4.8517 5.1965
2.2667 7.3332 0.7227
3.2121 2.4444 5.3101
3.9645 4.9259 0.8363
3.9645 9.7405 0.8363
4.2537 0.0371 3.8527
4.2537 4.8517 3.8527
5.0061 7.3332 2.2937
```

energy relative to the elements = 10 kJ per mole of atoms
space-group type = No. 62
energy = -2.6247 eV per atom

# 4
Crystalline KIn4Ag4 at its relaxed geometry, computed with PBE.

Cell and atoms, written as POSCAR:
```
KIn4Ag4
1.0
6.8655 0.0000 0.0000
0.0000 6.8655 0.0000
0.0000 0.0000 9.7006
K In Ag
2 8 8
Cartesian
1.7164 5.1492 2.4251
5.1492 1.7164 7.2754
0.1148 1.7164 1.4121
1.7164 0.1148 6.2624
1.7164 3.3180 6.2624
3.3180 1.7164 1.4121
3.5476 5.1492 8.2885
5.1492 3.5476 3.4382
5.1492 6.7507 3.4382
6.7507 5.1492 8.2885
0.3058 1.7164 4.2648
1.7164 0.3058 9.1151
1.7164 3.1270 9.1151
3.1270 1.7164 4.2648
3.7386 5.1492 5.4357
5.1492 3.7386 0.5854
5.1492 6.5598 0.5854
6.5598 5.1492 5.4357
```

energy relative to the elements = -4 kJ per mole of atoms
space-group type = No. 137
energy = -2.6430 eV per atom

# 5
Crystalline K2RbTlGa at its relaxed geometry, computed with PBE.

Cell and atoms, written as POSCAR:
```
K2RbTlGa
1.0
6.8731 0.0000 0.0000
0.0000 6.8731 0.0000
0.0000 0.0000 5.6784
K Rb Tl Ga
2 1 1 1
Cartesian
0.0000 3.4365 0.0000
3.4365 0.0000 0.0000
0.0000 0.0000 2.8392
3.4365 3.4365 0.0000
3.4365 3.4365 2.8392
```

energy relative to the elements = 9 kJ per mole of atoms
space-group type = No. 123
polymorph energy (0 for the lowest one) = 20 kJ/mol of formula units
energy = -1.6137 eV per atom

# 6
Crystalline Ba2ZrNbB at its relaxed geometry, computed with PBE.

Cell and atoms, written as POSCAR:
```
Ba2ZrNbB
1.0
6.3907 0.0000 0.0000
0.0000 6.3907 0.0000
0.0000 0.0000 4.8872
Ba Zr Nb B
2 1 1 1
Cartesian
0.0000 3.1953 0.0000
3.1953 0.0000 0.0000
0.0000 0.0000 0.0000
0.0000 0.0000 2.4436
3.1953 3.1953 2.4436
```

energy relative to the elements = 174 kJ per mole of atoms
space-group type = No. 123
energy = -4.0212 eV per atom